Density functional theory data (PBE-GGA) for a geometry-optimized Rb4N2Cl3 structure.

Summary:
- Total magnetization: 4.0 Bohr magnetons per cell
- Total energy: -4.1758 eV/atom

a = 15.792 Å, b = 8.732 Å, c = 9.049 Å
α = 90.00°, β = 97.66°, γ = 90.00°
Space group C2/c (No. 15)
Inequivalent atoms, fractional coordinates:
Rb (0.043, 0.229, 0.029) (multiplicity 8)
Rb (0.223, 0.451, 0.326) (multiplicity 8)
N (0.229, 0.274, 0.044) (multiplicity 8)
Cl (0.000, 0.473, 0.750) (multiplicity 4)
Cl (0.132, 0.100, 0.379) (multiplicity 8)